The following is a DFT calculation (PBE-GGA) of a relaxed Na2EuMg crystal.

```
Na2EuMg
1.0
4.1159 0.0000 0.0000
0.0000 4.1159 0.0000
0.0000 0.0000 8.2399
Na Eu Mg
2 1 1
Direct
0.0000 0.0000 0.2084 Na
0.0000 0.0000 0.7916 Na
0.5000 0.5000 0.5000 Eu
0.5000 0.5000 0.0000 Mg
```

Results
E   -13.975 eV/cell
ΔH_f (0 K)   133 meV/atom
Crystal system   tetragonal
Density   2.644 g/cm3
Space group   P4/mmm (123)
Excess energy over the best structure of this formula in the dataset   0.0259 eV per atom
N(E_F)   12.69 states/eV per cell

The following is a DFT calculation (PBE-GGA) of a relaxed TlRuPt2 crystal.

```
TlRuPt2
1.0
0.0000 3.2573 3.2573
3.2573 0.0000 3.2573
3.2573 3.2573 0.0000
Tl Ru Pt
1 1 2
Direct
0.0000 0.0000 0.0000 Tl
0.5000 0.5000 0.5000 Ru
0.2500 0.2500 0.2500 Pt
0.7500 0.7500 0.7500 Pt
```

Results
E   -22.241 eV/cell
ΔH_f (0 K)   371 meV/atom
Crystal system   cubic
Density   16.711 g/cm3
Space group   Fm-3m (225)
Excess energy over the best structure of this formula in the dataset   0.1486 eV per atom
N(E_F)   5.99 states/eV per cell

The following is a DFT calculation (PBE-GGA) of a relaxed Na2In3Pb crystal.

```
Na2In3Pb
1.0
4.2532 -4.6282 0.0000
4.2532 4.6282 0.0000
-1.8127 0.0000 8.4276
Na In Pb
4 6 2
Direct
0.1204 0.6282 0.8754 Na
0.3718 0.8796 0.6246 Na
0.6282 0.1204 0.3754 Na
0.8796 0.3718 0.1246 Na
0.1729 0.3458 0.4970 In
0.3458 0.1729 0.9970 In
0.4261 0.5739 0.2500 In
0.5739 0.4261 0.7500 In
0.6542 0.8271 0.0030 In
0.8271 0.6542 0.5030 In
0.0853 0.9147 0.2500 Pb
0.9147 0.0853 0.7500 Pb
```

Results
E   -30.400 eV/cell
ΔH_f (0 K)   -106 meV/atom
Crystal system   monoclinic
Density   5.982 g/cm3
Space group   C2/c (15)
Excess energy over the best structure of this formula in the dataset   0.0044 eV per atom
N(E_F)   5.67 states/eV per cell

The following is a DFT calculation (PBE-GGA) of a relaxed La2MgSbSe crystal.

```
La2MgSbSe
1.0
5.8913 0.0000 0.0000
0.0000 5.8913 0.0000
0.0000 0.0000 4.8566
La Mg Sb Se
2 1 1 1
Direct
0.0000 0.5000 0.0000 La
0.5000 0.0000 0.0000 La
0.0000 0.0000 0.0000 Mg
0.0000 0.0000 0.5000 Sb
0.5000 0.5000 0.5000 Se
```

Results
E   -19.739 eV/cell
Crystal system   tetragonal
Density   4.954 g/cm3
Space group   P4/mmm (123)
N(E_F)   4.14 states/eV per cell

- Number 1 is which compound?
  Na2EuMg